A relaxed structure of MgBe2Ni2. Source: Alexandria, functional PBE.

It has space group P4/mbm (No. 127), with a = 6.541 Å, b = 6.541 Å, c = 2.553 Å, α = 90.00°, β = 90.00° and γ = 90.00°. The inequivalent atoms are Mg at (0.000, 0.000, 0.000), Be at (0.148, 0.352, 0.500) and Ni at (0.142, 0.642, 0.000).

The formation energy is -207 meV per atom. The value obtained for the total DFT energy (no corrections) is -43.3 eV per cell. The calculation puts the density of states at the Fermi level at 3.47 states/eV per cell. The value obtained for the spin magnetization is 0.000 μB per atom.